1.
Tc2PtO8: optimized geometry, PBE.

abc: 6.259 6.259 5.927
angles: 92.02 92.02 78.56
Element x y z (fractional)
Tc 0.219 0.219 0.283
Tc 0.781 0.781 0.717
Pt 0.000 0.000 0.000
O 0.054 0.697 0.843
O 0.208 0.208 0.571
O 0.303 0.946 0.157
O 0.389 0.389 0.223
O 0.611 0.611 0.777
O 0.697 0.054 0.843
O 0.792 0.792 0.429
O 0.946 0.303 0.157

Properties
Distance to the lowest polymorph of the same formula in meV per atom: 0
Density of states at the Fermi level in states/eV/atom: 0.00
Energy in eV/atom: -7.03
Formation energy without anion corrections in eV/atom: -0.989
Magnetization in μB per cell: 0.066
Crystal system: monoclinic

---

2.
Sc7PdPt4: optimized geometry, PBE.

abc: 7.053 7.053 9.648
angles: 124.80 124.80 40.32
Element x y z (fractional)
Sc 0.000 0.000 0.000
Sc 0.161 0.161 0.608
Sc 0.286 0.286 0.130
Sc 0.425 0.425 0.667
Sc 0.575 0.575 0.333
Sc 0.714 0.714 0.870
Sc 0.839 0.839 0.392
Pd 0.500 0.500 0.000
Pt 0.067 0.067 0.780
Pt 0.211 0.211 0.343
Pt 0.789 0.789 0.657
Pt 0.933 0.933 0.220

Properties
Density of states at the Fermi level in states/eV/atom: 0.81
Energy in eV/atom: -7.00
Formation energy in eV/atom: -0.856
Magnetization in μB per cell: 0.000
Crystal system: monoclinic

---

3.
Co3Ni13: optimized geometry, PBE.

abc: 4.985 5.920 5.920
angles: 86.66 90.00 90.00
Element x y z (fractional)
Co 0.000 0.000 0.000
Co 0.248 0.752 0.752
Co 0.752 0.752 0.752
Ni 0.000 0.419 0.917
Ni 0.000 0.502 0.502
Ni 0.000 0.917 0.419
Ni 0.250 0.166 0.669
Ni 0.250 0.250 0.250
Ni 0.250 0.669 0.166
Ni 0.500 0.000 0.000
Ni 0.500 0.420 0.916
Ni 0.500 0.501 0.501
Ni 0.500 0.916 0.420
Ni 0.750 0.166 0.669
Ni 0.750 0.250 0.250
Ni 0.750 0.669 0.166

Properties
Density of states at the Fermi level in states/eV/atom: 1.72
Energy in eV/atom: -6.02
Formation energy in eV/atom: 0.014
Magnetization in μB per cell: 13.525
Crystal system: orthorhombic

---

4.
Sm2DyHo8: optimized geometry, PBE.

abc: 9.376 9.376 7.928
angles: 104.72 104.72 30.97
Element x y z (fractional)
Sm 0.227 0.227 0.137
Sm 0.773 0.773 0.863
Dy 0.500 0.500 0.500
Ho 0.045 0.045 0.227
Ho 0.136 0.136 0.679
Ho 0.319 0.319 0.592
Ho 0.410 0.410 0.046
Ho 0.590 0.590 0.954
Ho 0.681 0.681 0.408
Ho 0.864 0.864 0.321
Ho 0.955 0.955 0.773

Properties
Distance to the lowest polymorph of the same formula in meV per atom: 0
Density of states at the Fermi level in states/eV/atom: 1.33
Energy in eV/atom: -4.59
Formation energy in eV/atom: 0.020
Magnetization in μB per cell: 0.000
Crystal system: monoclinic

---

5.
Sr2CdBr: optimized geometry, PBE.

abc: 7.669 7.669 7.669
angles: 144.41 144.41 51.21
Element x y z (fractional)
Sr 0.000 0.000 0.000
Sr 0.750 0.250 0.500
Cd 0.500 0.500 0.000
Br 0.250 0.750 0.500

Properties
Distance to the lowest polymorph of the same formula in meV per atom: 200
Density of states at the Fermi level in states/eV/atom: 0.90
Energy in eV/atom: -2.16
Formation energy without anion corrections in eV/atom: -0.674
Magnetization in μB per cell: 0.000
Crystal system: tetragonal

---

6.
PmPr8Y2: optimized geometry, PBE.

abc: 9.618 9.618 6.094
angles: 105.74 105.74 122.30
Element x y z (fractional)
Pm 0.000 0.000 0.000
Pr 0.099 0.338 0.683
Pr 0.205 0.795 0.000
Pr 0.338 0.099 0.683
Pr 0.423 0.423 0.204
Pr 0.577 0.577 0.796
Pr 0.662 0.901 0.317
Pr 0.795 0.205 0.000
Pr 0.901 0.662 0.317
Y 0.310 0.690 0.500
Y 0.690 0.310 0.500

Properties
Distance to the lowest polymorph of the same formula in meV per atom: 116
Density of states at the Fermi level in states/eV/atom: 1.41
Energy in eV/atom: -4.95
Formation energy in eV/atom: 0.130
Magnetization in μB per cell: 0.000
Crystal system: monoclinic

---

7.
InTePb2: optimized geometry, PBE.

abc: 9.296 9.296 9.296
angles: 25.60 25.60 25.60
Element x y z (fractional)
In 0.000 0.000 0.000
Te 0.167 0.167 0.167
Pb 0.579 0.579 0.579
Pb 0.754 0.754 0.754

Properties
Distance to the lowest polymorph of the same formula in meV per atom: 53
Density of states at the Fermi level in states/eV/atom: 0.49
Energy in eV/atom: -3.35
Formation energy without anion corrections in eV/atom: -0.023
Magnetization in μB per cell: 0.000
Crystal system: trigonal

---

8.
Cs3InHg: optimized geometry, PBE.

abc: 9.118 9.118 9.298
angles: 118.74 118.74 79.61
Element x y z (fractional)
Cs 0.055 0.055 0.286
Cs 0.106 0.489 0.823
Cs 0.489 0.106 0.823
Cs 0.511 0.894 0.177
Cs 0.894 0.511 0.177
Cs 0.945 0.945 0.714
In 0.437 0.437 0.599
In 0.563 0.563 0.401
Hg 0.293 0.293 0.178
Hg 0.707 0.707 0.822

Properties
Distance to the lowest polymorph of the same formula in meV per atom: 67
Density of states at the Fermi level in states/eV/atom: 0.76
Energy in eV/atom: -1.18
Formation energy in eV/atom: -0.055
Magnetization in μB per cell: 0.000
Crystal system: monoclinic

---

9.
Pr3Sm2Cd2: optimized geometry, PBE.

abc: 16.468 16.468 3.689
angles: 90.00 90.00 167.01
Element x y z (fractional)
Pr 0.000 0.000 0.000
Pr 0.420 0.580 0.500
Pr 0.580 0.420 0.500
Sm 0.296 0.704 0.500
Sm 0.704 0.296 0.500
Cd 0.143 0.857 0.000
Cd 0.857 0.143 0.000

Properties
Distance to the lowest polymorph of the same formula in meV per atom: 57
Density of states at the Fermi level in states/eV/atom: 1.16
Energy in eV/atom: -3.75
Formation energy in eV/atom: -0.094
Magnetization in μB per cell: 1.001
Crystal system: orthorhombic

---

10.
Rb2Pa3CuS8: optimized geometry, PBE.

abc: 9.381 9.381 9.381
angles: 50.78 50.78 50.78
Element x y z (fractional)
Rb 0.000 0.000 0.000
Rb 0.362 0.362 0.362
Pa 0.002 0.002 0.500
Pa 0.002 0.500 0.002
Pa 0.500 0.002 0.002
Cu 0.556 0.556 0.556
S 0.228 0.228 0.228
S 0.228 0.726 0.726
S 0.258 0.258 0.808
S 0.258 0.808 0.258
S 0.726 0.228 0.726
S 0.726 0.726 0.228
S 0.777 0.777 0.777
S 0.808 0.258 0.258

Properties
Density of states at the Fermi level in states/eV/atom: 0.87
Energy in eV/atom: -6.22
Formation energy without anion corrections in eV/atom: -1.393
Magnetization in μB per cell: 2.037
Crystal system: trigonal

---

11.
Li2BeMo: optimized geometry, PBE.

abc: 5.504 5.504 2.403
angles: 101.64 101.64 124.02
Element x y z (fractional)
Li 0.000 0.500 0.000
Li 0.500 0.000 0.000
Be 0.000 0.000 0.500
Mo 0.500 0.500 0.500

Properties
Distance to the lowest polymorph of the same formula in meV per atom: 102
Density of states at the Fermi level in states/eV/atom: 0.44
Energy in eV/atom: -4.29
Formation energy in eV/atom: 0.305
Magnetization in μB per cell: 0.000
Crystal system: monoclinic

---

12.
LiAl2Ga2: optimized geometry, PBE.

abc: 6.374 6.374 6.374
angles: 142.63 142.63 53.89
Element x y z (fractional)
Li 0.000 0.000 0.000
Al 0.250 0.750 0.500
Al 0.750 0.250 0.500
Ga 0.393 0.393 0.000
Ga 0.607 0.607 0.000

Properties
Distance to the lowest polymorph of the same formula in meV per atom: 0
Density of states at the Fermi level in states/eV/atom: 0.22
Energy in eV/atom: -3.20
Formation energy in eV/atom: -0.113
Magnetization in μB per cell: 0.000
Crystal system: tetragonal

---

13.
NpPbS3: optimized geometry, PBE.

abc: 7.454 4.036 9.365
angles: 90.00 91.97 90.00
Element x y z (fractional)
Np 0.073 0.250 0.186
Np 0.927 0.750 0.814
Pb 0.445 0.250 0.800
Pb 0.555 0.750 0.200
S 0.077 0.250 0.682
S 0.202 0.750 0.017
S 0.379 0.250 0.336
S 0.621 0.750 0.664
S 0.798 0.250 0.983
S 0.923 0.750 0.318

Properties
Density of states at the Fermi level in states/eV/atom: 1.67
Energy in eV/atom: -6.72
Formation energy without anion corrections in eV/atom: -0.913
Magnetization in μB per cell: 6.000
Crystal system: monoclinic

---

14.
SrY2HfNb: optimized geometry, PBE.

abc: 5.274 5.274 5.188
angles: 90.00 90.00 90.00
Element x y z (fractional)
Sr 0.000 0.000 0.000
Y 0.000 0.500 0.000
Y 0.500 0.000 0.000
Hf 0.000 0.000 0.500
Nb 0.500 0.500 0.500

Properties
Density of states at the Fermi level in states/eV/atom: 1.67
Energy in eV/atom: -5.03
Formation energy in eV/atom: 1.895
Magnetization in μB per cell: 0.000
Crystal system: tetragonal

---

15.
Cs2AsH4: optimized geometry, PBE.

abc: 6.224 6.224 6.224
angles: 122.40 122.40 85.88
Element x y z (fractional)
Cs 0.250 0.750 0.500
Cs 0.750 0.250 0.500
As 0.000 0.000 0.000
H 0.203 0.203 0.406
H 0.203 0.797 0.000
H 0.797 0.203 0.000
H 0.797 0.797 0.594

Properties
Distance to the lowest polymorph of the same formula in meV per atom: 0
Density of states at the Fermi level in states/eV/atom: 0.35
Energy in eV/atom: -2.79
Magnetization in μB per cell: 0.000
Crystal system: tetragonal

---

16.
Ca2CdSn3Pt4: optimized geometry, PBE.

abc: 4.475 4.475 11.313
angles: 90.00 90.00 90.00
Element x y z (fractional)
Ca 0.000 0.500 0.248
Ca 0.500 0.000 0.752
Cd 0.000 0.000 0.500
Sn 0.000 0.500 0.870
Sn 0.500 0.000 0.130
Sn 0.500 0.500 0.500
Pt 0.000 0.000 0.000
Pt 0.000 0.500 0.641
Pt 0.500 0.000 0.359
Pt 0.500 0.500 0.000

Properties
Density of states at the Fermi level in states/eV/atom: 0.63
Energy in eV/atom: -4.81
Formation energy in eV/atom: -0.697
Magnetization in μB per cell: 0.000
Crystal system: tetragonal

---

17.
Tb2InB2Ru5: optimized geometry, PBE.

abc: 9.777 9.777 3.162
angles: 90.00 90.00 90.00
Element x y z (fractional)
Tb 0.177 0.323 0.000
Tb 0.323 0.823 0.000
Tb 0.677 0.177 0.000
Tb 0.823 0.677 0.000
In 0.000 0.000 0.000
In 0.500 0.500 0.000
B 0.122 0.622 0.000
B 0.378 0.122 0.000
B 0.622 0.878 0.000
B 0.878 0.378 0.000
Ru 0.000 0.500 0.500
Ru 0.070 0.773 0.500
Ru 0.227 0.070 0.500
Ru 0.273 0.570 0.500
Ru 0.430 0.273 0.500
Ru 0.500 0.000 0.500
Ru 0.570 0.727 0.500
Ru 0.727 0.430 0.500
Ru 0.773 0.930 0.500
Ru 0.930 0.227 0.500

Properties
Density of states at the Fermi level in states/eV/atom: 1.02
Energy in eV/atom: -7.56
Formation energy in eV/atom: -0.384
Magnetization in μB per cell: 0.000
Crystal system: tetragonal

---

18.
BePt2W: optimized geometry, PBE.

abc: 5.207 5.207 5.207
angles: 148.86 129.70 60.35
Element x y z (fractional)
Be 0.000 0.000 0.000
Pt 0.200 0.700 0.500
Pt 0.495 0.495 0.000
W 0.774 0.274 0.500

Properties
Density of states at the Fermi level in states/eV/atom: 0.57
Energy in eV/atom: -7.45
Formation energy in eV/atom: -0.264
Magnetization in μB per cell: 0.000
Crystal system: orthorhombic

---

19.
GdHoNb4: optimized geometry, PBE.

abc: 5.735 5.735 5.735
angles: 60.00 60.00 60.00
Element x y z (fractional)
Gd 0.000 0.000 0.000
Ho 0.750 0.750 0.750
Nb 0.375 0.375 0.375
Nb 0.375 0.375 0.875
Nb 0.375 0.875 0.375
Nb 0.875 0.375 0.375

Properties
Density of states at the Fermi level in states/eV/atom: 1.75
Energy in eV/atom: -9.64
Formation energy in eV/atom: 0.188
Magnetization in μB per cell: 8.089
Crystal system: cubic

---

20.
HfCd: optimized geometry, PBE.

abc: 3.065 3.065 9.281
angles: 90.00 90.00 90.00
Element x y z (fractional)
Hf 0.250 0.250 0.117
Hf 0.750 0.750 0.883
Cd 0.250 0.250 0.625
Cd 0.750 0.750 0.375

Properties
Density of states at the Fermi level in states/eV/atom: 0.80
Energy in eV/atom: -5.51
Formation energy in eV/atom: -0.075
Magnetization in μB per cell: 0.000
Crystal system: tetragonal